Entry 1:
The following is a DFT calculation (PBE) of a relaxed Ho3Ni2Ge4 crystal.

abc: 5.6664 5.6664 8.0287
angles: 105.48 105.48 42.98
Fractional coordinates of all 9 atoms:
Ho  0.0000  0.0000  0.0000
Ho  0.3745  0.3745  0.3067
Ho  0.6255  0.6255  0.6933
Ni  0.3075  0.3075  0.6295
Ni  0.6925  0.6925  0.3705
Ge  0.0894  0.0894  0.3982
Ge  0.2924  0.2924  0.9237
Ge  0.7076  0.7076  0.0763
Ge  0.9106  0.9106  0.6018

Computed properties:
total magnetization	0.00	μB per cell
raw total energy	-50.4	eV for the cell shown

---

Entry 2:
The following is a DFT calculation (PBE) of a relaxed Zr2Sc4C3S3 crystal.

abc: 5.9561 5.9561 12.5439
angles: 103.78 103.78 59.99
Fractional coordinates of all 24 atoms:
Zr  0.0333  0.8635  0.6003
Zr  0.1365  0.9667  0.8997
Zr  0.8635  0.0333  0.1003
Zr  0.9667  0.1365  0.3997
Sc  0.2003  0.3714  0.1035
Sc  0.3014  0.4628  0.3966
Sc  0.3714  0.2003  0.6035
Sc  0.4628  0.3014  0.8966
Sc  0.5372  0.6986  0.1034
Sc  0.6286  0.7997  0.3965
Sc  0.6986  0.5372  0.6034
Sc  0.7997  0.6286  0.8965
C  0.0000  0.5000  0.5000
C  0.1625  0.6752  0.0000
C  0.3248  0.8375  0.5000
C  0.5000  0.0000  0.0000
C  0.6752  0.1625  0.5000
C  0.8375  0.3248  0.0000
S  0.0840  0.2527  0.7500
S  0.2527  0.0840  0.2500
S  0.4206  0.5794  0.7500
S  0.5794  0.4206  0.2500
S  0.7473  0.9160  0.7500
S  0.9160  0.7473  0.2500

Computed properties:
total magnetization	0.03	μB per cell
raw total energy	-197.0	eV for the cell shown

---

Entry 3:
The following is a DFT calculation (PBE) of a relaxed LiBeW2 crystal.

abc: 4.2801 4.2801 4.2801
angles: 60.00 60.00 60.00
Fractional coordinates of all 4 atoms:
Li  0.0000  0.0000  0.0000
Be  0.7500  0.7500  0.7500
W  0.2500  0.2500  0.2500
W  0.5000  0.5000  0.5000

Computed properties:
total magnetization	0.00	μB per cell
raw total energy	-29.5	eV for the cell shown

---

Entry 4:
The following is a DFT calculation (PBE) of a relaxed HoSnMo crystal.

abc: 4.7347 4.7347 4.7347
angles: 60.00 60.00 60.00
Fractional coordinates of all 3 atoms:
Ho  0.0000  0.0000  0.0000
Sn  0.5000  0.5000  0.5000
Mo  0.2500  0.2500  0.2500

Computed properties:
total magnetization	0.85	μB per cell
raw total energy	-18.2	eV for the cell shown

---

Entry 5:
The following is a DFT calculation (PBE) of a relaxed Zr2Sc4In3N3 crystal.

abc: 5.6936 5.6936 15.2116
angles: 100.80 100.80 60.04
Fractional coordinates of all 24 atoms:
Zr  0.0271  0.8598  0.5810
Zr  0.1402  0.9729  0.9190
Zr  0.8598  0.0271  0.0810
Zr  0.9729  0.1402  0.4190
Sc  0.1932  0.3617  0.0806
Sc  0.3076  0.4721  0.4194
Sc  0.3617  0.1932  0.5806
Sc  0.4721  0.3076  0.9194
Sc  0.5279  0.6924  0.0806
Sc  0.6383  0.8068  0.4194
Sc  0.6924  0.5279  0.5806
Sc  0.8068  0.6383  0.9194
In  0.0832  0.2498  0.7497
In  0.2498  0.0832  0.2497
In  0.4162  0.5838  0.7500
In  0.5838  0.4162  0.2500
In  0.7502  0.9168  0.7503
In  0.9168  0.7502  0.2503
N  0.0000  0.5000  0.5000
N  0.1682  0.6638  0.0000
N  0.3362  0.8318  0.5000
N  0.5000  0.0000  0.0000
N  0.6638  0.1682  0.5000
N  0.8318  0.3362  0.0000

Computed properties:
total magnetization	0.02	μB per cell
raw total energy	-179.0	eV for the cell shown

---

Entry 6:
The following is a DFT calculation (PBE) of a relaxed Zn2NiOs crystal.

abc: 4.2076 4.2076 4.2076
angles: 60.00 60.00 60.00
Fractional coordinates of all 4 atoms:
Zn  0.0000  0.0000  0.0000
Zn  0.2500  0.2500  0.2500
Ni  0.5000  0.5000  0.5000
Os  0.7500  0.7500  0.7500

Computed properties:
total magnetization	1.03	μB per cell
formation energy from the elements	89.8	kJ/mol of formula units